This record from Alexandria describes a geometry-optimized VFePb2O6 structure. The functional is PBE with a Hubbard U.

Output
* E: -6.4743 eV/atom

a = 5.6097 Å, b = 5.5829 Å, c = 9.6525 Å
α = 90.00°, β = 125.42°, γ = 90.00°
Space group P2_1/c (No. 14)
Unique sites:
V 0.0000 0.0000 0.0000 x2
Fe 0.5000 0.0000 0.5000 x2
Pb 0.2462 0.0003 0.7497 x4
O 0.2183 0.2445 0.9789 x4
O 0.2219 0.7407 0.4788 x4
O 0.2810 0.0000 0.2415 x4